## Ba8Sb3SI4 (GGA-PBE)

Data for a relaxed Ba8Sb3SI4 crystal. Values from VASP.

Structure (Quantum ESPRESSO input):
```
&SYSTEM
  ibrav = 0, nat = 16, ntyp = 4
/
ATOMIC_SPECIES
Ba 137.33 Ba.upf
Sb 121.76 Sb.upf
S 32.06 S.upf
I 126.90 I.upf
ATOMIC_POSITIONS angstrom
Ba -2.552 2.342 6.975
Ba 0.000 4.891 3.369
Ba 0.000 0.231 3.682
Ba 2.552 2.342 6.975
Ba 2.425 2.802 0.175
Ba 4.977 4.912 3.468
Ba 4.977 0.253 3.782
Ba 7.529 2.802 0.175
Sb 4.977 5.058 0.054
Sb 2.489 2.572 3.575
Sb -2.489 2.572 3.575
S 0.000 5.058 0.054
I 4.977 0.000 0.000
I 2.489 -2.487 3.521
I 0.000 0.000 0.000
I -2.489 -2.487 3.521
CELL_PARAMETERS angstrom
9.954 0.000 0.000
0.000 10.117 0.109
-4.977 -4.973 7.042
```

Computed properties:
The energy relative to the elements, uncorrected is -1475 meV per atom.